Record 1
Material: Li2CdCoF6
Method: DFT, PBE+U
State: relaxed

Properties
- theoretical density (Mg/m³) = 4.22
- VASP energy (eV for the cell shown) = -45.65

Geometry as CIF:
```
data_Li2CdCoF6
_cell_length_a 5.323
_cell_length_b 5.324
_cell_length_c 5.696
_cell_angle_alpha 117.85
_cell_angle_beta 90.02
_cell_angle_gamma 119.93
_space_group_name_H-M_alt 'P 1'
_space_group_IT_number 1
loop_
_space_group_symop_operation_xyz
'x,y,z'
loop_
_atom_site_label
_atom_site_type_symbol
_atom_site_fract_x
_atom_site_fract_y
_atom_site_fract_z
Li1 Li 0.000 0.000 0.000
Li2 Li 0.491 0.984 0.476
Cd1 Cd 0.282 0.564 0.846
Co1 Co 0.789 0.579 0.368
F1 F 0.072 0.460 0.175
F2 F 0.196 0.047 0.657
F3 F 0.386 0.101 0.176
F4 F 0.607 0.804 0.655
F5 F 0.715 0.788 0.175
F6 F 0.851 0.460 0.656
```



Record 2
Material: MgCdCoF6
Method: DFT, PBE+U
State: relaxed

Properties
- theoretical density (Mg/m³) = 4.37
- VASP energy (eV for the cell shown) = -84.79

Geometry as CIF:
```
data_MgCdCoF6
_cell_length_a 5.3207
_cell_length_b 5.3207
_cell_length_c 9.5949
_cell_angle_alpha 90.00
_cell_angle_beta 90.00
_cell_angle_gamma 120.00
_space_group_name_H-M_alt 'P -3 1 c'
_space_group_IT_number 163
_space_group_name_Hall '-P 3 2c'
loop_
_atom_site_label
_atom_site_type_symbol
_atom_site_fract_x
_atom_site_fract_y
_atom_site_fract_z
Mg1 Mg 0.3333 0.6667 0.2500
Cd1 Cd 0.0000 0.0000 0.0000
Co1 Co 0.3333 0.6667 0.7500
F1 F 0.0067 0.3546 0.1376
```